Below is an optimized crystal structure of BaLi4Zn4, with properties calculated at the PBE level.

Unit cell a=6.8699 b=6.8699 c=6.8699 alpha=96.46 beta=96.46 gamma=140.80
Element x y z (fractional)
Ba (0.0000, 0.0000, 0.0000)
Li (0.1083, 0.5952, 0.7035)
Li (0.4048, 0.1083, 0.5130)
Li (0.5952, 0.8917, 0.4870)
Li (0.8917, 0.4048, 0.2965)
Zn (0.2181, 0.3199, 0.5380)
Zn (0.3199, 0.7819, 0.1017)
Zn (0.6801, 0.2181, 0.8983)
Zn (0.7819, 0.6801, 0.4620)

density: 3.7 g cm⁻³
magnetic moment: 0.00 μB per cell
electronic total energy: -15.5 eV per cell



Below is an optimized crystal structure of Mg2MnIr, with properties calculated at the PBE level.

Unit cell a=2.8095 b=2.8095 c=8.9617 alpha=90.00 beta=90.00 gamma=113.06
Element x y z (fractional)
Mg (0.0000, 0.0000, 0.2392)
Mg (0.0000, 0.0000, 0.7608)
Mn (0.5000, 0.5000, 0.5000)
Ir (0.5000, 0.5000, 0.0000)

density: 7.5 g cm⁻³
energy above the most stable polymorph in this dataset: 0.224 eV/atom
magnetic moment: 3.31 μB per cell
electronic total energy: -20.9 eV per cell



Below is an optimized crystal structure of ScAs4Ru, with properties calculated at the PBE level.

Unit cell a=5.4107 b=5.4107 c=5.4107 alpha=60.00 beta=60.00 gamma=60.00
Element x y z (fractional)
Sc (0.0000, 0.0000, 0.0000)
As (0.1256, 0.6248, 0.6248)
As (0.6248, 0.1256, 0.6248)
As (0.6248, 0.6248, 0.1256)
As (0.6248, 0.6248, 0.6248)
Ru (0.2500, 0.2500, 0.2500)

density: 6.6 g cm⁻³
magnetic moment: 0.48 μB per cell
electronic total energy: -32.2 eV per cell



Below is an optimized crystal structure of Cs2CuBr3F, with properties calculated at the PBE level.

Unit cell a=9.0115 b=9.0115 c=9.0115 alpha=148.49 beta=141.25 gamma=50.77
Element x y z (fractional)
Cs (0.1216, 0.1216, 0.0000)
Cs (0.8784, 0.8784, 0.0000)
Cu (0.5000, 0.5000, 0.0000)
Br (0.3527, 0.3527, 0.0000)
Br (0.5000, 0.0000, 0.5000)
Br (0.6473, 0.6473, 0.0000)
F (0.0000, 0.5000, 0.5000)

density: 4.1 g cm⁻³
magnetic moment: 0.00 μB per cell
uncorrected formation energy: -1.36 eV/atom
electronic total energy: -22.2 eV per cell



Below is an optimized crystal structure of NaSr4, with properties calculated at the PBE level.

Unit cell a=14.3994 b=14.3971 c=4.2636 alpha=81.52 beta=81.45 gamma=17.03
Element x y z (fractional)
Na (0.0000, 0.0000, 0.0000)
Sr (0.1963, 0.1963, 0.8037)
Sr (0.4108, 0.4108, 0.5892)
Sr (0.5892, 0.5892, 0.4108)
Sr (0.8037, 0.8037, 0.1963)

density: 2.4 g cm⁻³
energy above the most stable polymorph in this dataset: 0.000 eV/atom
magnetic moment: 0.00 μB per cell
electronic total energy: -8.0 eV per cell



Below is an optimized crystal structure of GeOs3Au, with properties calculated at the PBE level.

Unit cell a=4.9046 b=4.9046 c=4.9046 alpha=90.00 beta=90.00 gamma=90.00
Element x y z (fractional)
Ge (0.0000, 0.0000, 0.0000)
Os (0.0000, 0.5000, 0.5000)
Os (0.5000, 0.0000, 0.5000)
Os (0.5000, 0.5000, 0.0000)
Au (0.5000, 0.5000, 0.5000)

density: 11.8 g cm⁻³
energy above the most stable polymorph in this dataset: 1.100 eV/atom
magnetic moment: 6.34 μB per cell
electronic total energy: -27.0 eV per cell